PPt2Rh | PBE | relaxed

abc: 3.287 5.621 5.621
angles: 35.59 90.00 90.00
Atoms (fractional coordinates):
P (0.000, 0.000, 0.000)
Pt (0.000, 0.213, 0.213)
Pt (0.500, 0.846, 0.846)
Rh (0.500, 0.563, 0.563)

Results
SG = Amm2, No. 38
Formation energy from the elements = -0.3131 eV per atom